Below is a PBEsol-optimized structure of TaAgP4O13, with properties calculated at the meta-GGA SCAN level.

## Properties
Crystal system: orthorhombic
ΔE_f (raw): -44.3 eV per formula unit
E: -13.940 eV/atom

Unit cell a=7.149 b=8.311 c=17.625 alpha=90.00 beta=90.00 gamma=90.00
Space group P2_12_12_1 (No. 19)
One atom of each set of equivalent atoms:
Ta: 0.238 0.231 0.286 [4 per cell]
Ag: 0.199 0.775 0.516 [4 per cell]
P: 0.072 0.176 0.575 [4 per cell]
P: 0.084 0.610 0.076 [4 per cell]
P: 0.096 0.606 0.336 [4 per cell]
P: 0.100 0.149 0.832 [4 per cell]
O: 0.008 0.719 0.008 [4 per cell]
O: 0.031 0.170 0.356 [4 per cell]
O: 0.073 0.151 0.915 [4 per cell]
O: 0.073 0.701 0.715 [4 per cell]
O: 0.084 0.436 0.062 [4 per cell]
O: 0.087 0.170 0.200 [4 per cell]
O: 0.093 0.711 0.872 [4 per cell]
O: 0.102 0.593 0.419 [4 per cell]
O: 0.140 0.449 0.291 [4 per cell]
O: 0.162 0.987 0.797 [4 per cell]
O: 0.164 0.018 0.581 [4 per cell]
O: 0.208 0.326 0.589 [4 per cell]
O: 0.247 0.728 0.301 [4 per cell]